NbInCI2: optimized geometry, PBE.

Unit cell a=6.060 b=4.046 c=6.060 alpha=90.00 beta=90.00 gamma=90.00
Element x y z (fractional)
1 I 0.000 0.000 0.500
2 I 0.500 0.000 0.000
3 Nb 0.500 0.500 0.500
4 C 0.000 0.500 0.000
5 In 0.000 0.000 0.000

Output
Uncorrected energy ... -3.41 eV per atom
Density of states at the Fermi level ... 7.79 states/eV per cell
M_tot ... 3.90 μB/f.u.
Crystal system ... tetragonal



InCIO2: optimized geometry, PBE.

Unit cell a=4.068 b=4.068 c=4.355 alpha=90.00 beta=90.00 gamma=90.00
Element x y z (fractional)
1 I 0.000 0.000 0.500
2 C 0.000 0.000 0.000
3 O 0.000 0.500 0.000
4 O 0.500 0.000 0.000
5 In 0.500 0.500 0.500

Output
Uncorrected energy ... -3.59 eV per atom
Density of states at the Fermi level ... 3.07 states/eV per cell
M_tot ... 0.02 μB/f.u.
Energy above the most stable polymorph in this dataset ... 0.544 eV per formula unit
Crystal system ... tetragonal